NaP2PdCl | the Alexandria database | PBE | optimized geometry; uncorrected formation energy = -0.04 eV/atom; symmetry = No. 123; relative energy among the computed polymorphs = 0 meV/atom
1.0
4.437 0.000 0.000
0.000 4.437 0.000
0.000 0.000 7.833
Na P Pd Cl
1 2 1 1
Cartesian
0.000 0.000 0.000 Na
0.000 2.218 3.916 P
2.218 0.000 3.916 P
2.218 2.218 3.916 Pd
2.218 2.218 0.000 Cl